Entry A
BaCo3Ir: relaxed, GGA-PBE.

a b c (Å): 4.7683 4.7683 4.7683
angles (deg): 90.00 90.00 90.00
With the nearest neighbours (Å) after each atom.
Positions (direct):
Ba  0.0000  0.0000  0.0000  12 Co 3.37
Co  0.0000  0.5000  0.5000  2 Ir 2.38
Co  0.5000  0.0000  0.5000  2 Ir 2.38
Co  0.5000  0.5000  0.0000  2 Ir 2.38
Ir  0.5000  0.5000  0.5000  6 Co 2.38

Calculated values
D(E_F)	5.994	states/eV per cell

=====

Entry B
BaCo3Ir: relaxed, GGA-PBE.

a b c (Å): 4.6827 4.6827 4.6827
angles (deg): 90.00 90.00 90.00
With the nearest neighbours (Å) after each atom.
Positions (direct):
Ba  0.0000  0.0000  0.0000  6 Co 2.34
Co  0.0000  0.0000  0.5000  2 Ba 2.34
Co  0.0000  0.5000  0.0000  2 Ba 2.34
Co  0.5000  0.0000  0.0000  2 Ba 2.34
Ir  0.5000  0.5000  0.5000  12 Co 3.31

Calculated values
D(E_F)	5.794	states/eV per cell

=====

Verdict on stability: entry B comes out at the bottom.

=====

Entry A
BaCo2Ir2: relaxed, GGA-PBE.

a b c (Å): 6.2184 6.2184 6.2184
angles (deg): 138.70 138.70 59.83
With the nearest neighbours (Å) after each atom.
Positions (direct):
Ba  0.0000  0.0000  0.0000  8 Ir 3.47, 10 Co 3.57-3.63
Co  0.3364  0.3364  0.0000  4 Ir 2.38
Co  0.6636  0.6636  0.0000  4 Ir 2.38
Ir  0.2500  0.7500  0.5000  4 Co 2.38
Ir  0.7500  0.2500  0.5000  4 Co 2.38

Calculated values
D(E_F)	6.284	states/eV per cell

=====

Entry B
BaCo2Ir2: relaxed, GGA-PBE.

a b c (Å): 5.8789 5.8789 5.8789
angles (deg): 136.41 136.41 63.35
With the nearest neighbours (Å) after each atom.
Positions (direct):
Ba  0.0000  0.0000  0.0000  8 Co 3.32, 8 Ir 3.34
Co  0.2500  0.7500  0.5000  4 Ir 2.50
Co  0.7500  0.2500  0.5000  4 Ir 2.50
Ir  0.3726  0.3726  0.0000  4 Co 2.50, 1 Ir 2.55
Ir  0.6274  0.6274  0.0000  4 Co 2.50, 1 Ir 2.55

Calculated values
D(E_F)	6.846	states/eV per cell

=====

Verdict on stability: entry A comes out at the bottom.

=====

Entry A
KBa2Co: relaxed, GGA-PBE.

a b c (Å): 7.2126 7.2126 7.2126
angles (deg): 137.14 137.14 62.22
With the nearest neighbours (Å) after each atom.
Positions (direct):
K  0.0000  0.0000  0.0000  8 Ba 3.73-4.06, 4 Co 4.06
Ba  0.5000  0.5000  0.0000  4 K 3.73, 4 Co 4.06, 4 Ba 4.06
Ba  0.7500  0.2500  0.5000  4 Co 3.73, 4 Ba 4.06, 4 K 4.06
Co  0.2500  0.7500  0.5000  8 Ba 3.73-4.06, 4 K 4.06

Calculated values
D(E_F)	5.163	states/eV per cell

=====

Entry B
KBa2Co: relaxed, GGA-PBE.

a b c (Å): 4.2568 4.2568 11.4506
angles (deg): 90.00 90.00 90.00
With the nearest neighbours (Å) after each atom.
Positions (direct):
K  0.0000  0.0000  0.0000  4 K 4.26, 5 Ba 4.54-4.71
Ba  0.0000  0.0000  0.6031  4 Co 3.09
Ba  0.5000  0.5000  0.3160  1 Co 2.59
Co  0.5000  0.5000  0.5419  1 Ba 2.59

Calculated values
D(E_F)	4.297	states/eV per cell

=====

Entry C
KBa2Co: relaxed, GGA-PBE.

a b c (Å): 4.4764 4.4764 11.6991
angles (deg): 100.43 100.43 59.96
With the nearest neighbours (Å) after each atom.
Positions (direct):
K  0.0000  0.0000  0.0000  6 K 4.47-4.48, 6 Ba 4.73-4.79
Ba  0.2136  0.2136  0.6494  3 Co 3.10
Ba  0.7864  0.7864  0.3506  3 Co 3.10
Co  0.5000  0.5000  0.5000  6 Ba 3.10

Calculated values
D(E_F)	6.931	states/eV per cell

=====

Entry D
KBa2Co: relaxed, GGA-PBE.

a b c (Å): 5.9407 5.9407 5.9407
angles (deg): 60.00 60.00 60.00
With the nearest neighbours (Å) after each atom.
Positions (direct):
K  0.0000  0.0000  0.0000  8 Ba 3.64
Ba  0.2500  0.2500  0.2500  4 Co 3.64, 4 K 3.64
Ba  0.7500  0.7500  0.7500  4 K 3.64, 4 Co 3.64
Co  0.5000  0.5000  0.5000  8 Ba 3.64

Calculated values
D(E_F)	3.217	states/eV per cell

=====

Verdict on stability: entry A comes out at the bottom.